This record from the Alexandria database describes NbTeRhN2 after structural relaxation. The functional is PBE-GGA.

Unit cell a=3.9748 b=3.9748 c=5.9568 alpha=90.00 beta=90.00 gamma=90.00
Positions (direct):
Rh 0.5000 0.5000 0.5000
Nb 0.0000 0.0000 0.0000
Te 0.0000 0.0000 0.5000
N 0.0000 0.5000 0.0000
N 0.5000 0.0000 0.0000

Summary:
- Magnetic moment: 0.2 μB/f.u.
- Polymorph energy (0 for the lowest one): 0.0 kJ per mole of atoms
- Symmetry: P4/mmm
- V: 94 Å³ per cell
- Theoretical density: 6.20 g cm⁻³
- DOS at the Fermi energy: 4.23 states/eV/f.u.


This record from the Alexandria database describes NbTeRhN2 after structural relaxation. The functional is PBE-GGA.

Unit cell a=3.9433 b=3.9433 c=5.5231 alpha=90.00 beta=90.00 gamma=90.00
Positions (direct):
Te 0.0000 0.0000 0.5000
N 0.0000 0.5000 0.0000
Rh 0.0000 0.0000 0.0000
N 0.5000 0.0000 0.0000
Nb 0.5000 0.5000 0.5000

Summary:
- Magnetic moment: 1.3 μB/f.u.
- Polymorph energy (0 for the lowest one): 63.8 kJ per mole of atoms
- Symmetry: P4/mmm
- V: 86 Å³ per cell
- Theoretical density: 6.79 g cm⁻³
- DOS at the Fermi energy: 4.52 states/eV/f.u.


This record from the Alexandria database describes TiNb2RhN after structural relaxation. The functional is PBE-GGA.

Unit cell a=4.2569 b=4.2569 c=4.0496 alpha=90.00 beta=90.00 gamma=90.00
Positions (direct):
Nb 0.0000 0.5000 0.0000
Rh 0.5000 0.5000 0.5000
Ti 0.0000 0.0000 0.5000
N 0.0000 0.0000 0.0000
Nb 0.5000 0.0000 0.0000

Summary:
- Magnetic moment: 0.0 μB/f.u.
- Symmetry: P4/mmm
- V: 73 Å³ per cell
- Theoretical density: 7.93 g cm⁻³
- DOS at the Fermi energy: 4.16 states/eV/f.u.
- VASP energy: -9.460 eV/atom


This record from the Alexandria database describes NbV2RhN after structural relaxation. The functional is PBE-GGA.

Unit cell a=3.9248 b=3.9248 c=4.2627 alpha=90.00 beta=90.00 gamma=90.00
Positions (direct):
Nb 0.0000 0.0000 0.5000
Rh 0.5000 0.5000 0.5000
V 0.5000 0.0000 0.0000
N 0.0000 0.0000 0.0000
V 0.0000 0.5000 0.0000

Summary:
- Magnetic moment: 0.0 μB/f.u.
- Symmetry: P4/mmm
- V: 66 Å³ per cell
- Theoretical density: 7.88 g cm⁻³
- DOS at the Fermi energy: 3.85 states/eV/f.u.
- VASP energy: -9.426 eV/atom